1.
A plane-wave DFT calculation with PBE was carried out for crystalline BeSi2 at its relaxed geometry.

**N(E_F)**: 0.2530 states/eV/atom
**E_form (uncorrected)**: 0.26 eV/atom
**E_tot**: -4.600 eV per atom

a = 7.0775 Å, b = 3.6364 Å, c = 6.8162 Å
α = 90.00°, β = 92.91°, γ = 90.00°
Last column: nearest neighbours and their distance in Å.
Space group C2/m (No. 12)
Symmetry-distinct sites (fractional):
Be  0.2437  0.0000  0.1007  5 Si 2.25-2.32, 2 Be 2.28
Si  0.0626  0.0000  0.8205  4 Be 2.25-2.32
Si  0.1571  0.5000  0.5785  1 Be 2.26, 3 Si 2.42-2.51


2.
A plane-wave DFT calculation with PBE was carried out for crystalline ScBePdRh2 at its relaxed geometry.

**N(E_F)**: 0.9570 states/eV/atom
**Formation energy**: -546 meV per atom
**E_tot**: -6.536 eV per atom

a = 4.2016 Å, b = 4.2016 Å, c = 4.1926 Å
α = 90.00°, β = 90.00°, γ = 90.00°
Last column: nearest neighbours and their distance in Å.
Space group P4/mmm (No. 123)
Symmetry-distinct sites (fractional):
Sc  0.0000  0.0000  0.0000  8 Rh 2.97, 4 Pd 2.97
Be  0.5000  0.5000  0.5000  2 Pd 2.10, 4 Rh 2.10
Pd  0.5000  0.5000  0.0000  2 Be 2.10
Rh  0.0000  0.5000  0.5000  2 Be 2.10


3.
A plane-wave DFT calculation with PBE was carried out for crystalline Ca2PdI at its relaxed geometry.

**N(E_F)**: 1.0224 states/eV/atom
**E_form (uncorrected)**: -0.63 eV/atom
**E_tot**: -3.320 eV per atom

a = 7.9582 Å, b = 7.9582 Å, c = 8.4719 Å
α = 90.00°, β = 90.00°, γ = 90.00°
Last column: nearest neighbours and their distance in Å.
Space group I-42d (No. 122)
Symmetry-distinct sites (fractional):
Ca  0.2078  0.2500  0.1250  2 Pd 2.80
Pd  0.0000  0.0000  0.0000  4 Ca 2.80
I  0.0000  0.0000  0.5000  4 Ca 3.24


4.
A plane-wave DFT calculation with PBE was carried out for crystalline ZrScIn2 at its relaxed geometry.

**N(E_F)**: 0.7375 states/eV/atom
**Formation energy**: -306 meV per atom
**E_tot**: -5.395 eV per atom

a = 3.2112 Å, b = 5.2362 Å, c = 5.3311 Å
α = 90.00°, β = 90.00°, γ = 90.00°
Last column: nearest neighbours and their distance in Å.
Space group Pmm2 (No. 25)
Symmetry-distinct sites (fractional):
Zr  0.0000  0.0000  0.0000  8 In 3.10-3.13, 2 Zr 3.21, 2 Sc 3.32
Sc  0.0000  0.5000  0.3843  8 In 3.10-3.13, 2 Sc 3.21, 2 Zr 3.32
In  0.5000  0.0000  0.4972  4 Zr 3.10-3.12, 4 Sc 3.13, 4 In 3.21-3.34
In  0.5000  0.5000  0.8863  4 Sc 3.10-3.12, 4 Zr 3.13, 4 In 3.21-3.34


5.
A plane-wave DFT calculation with PBE was carried out for crystalline Ba3NaN at its relaxed geometry.

**N(E_F)**: 0.8593 states/eV/atom
**E_form (uncorrected)**: -0.27 eV/atom
**E_tot**: -3.351 eV per atom

a = 8.5204 Å, b = 8.5204 Å, c = 7.0040 Å
α = 90.00°, β = 90.00°, γ = 120.00°
Last column: nearest neighbours and their distance in Å.
Space group P6_3/mmc (No. 194)
Symmetry-distinct sites (fractional):
Ba  0.1439  0.2877  0.2500  2 N 2.75
Na  0.3333  0.6667  0.7500  12 Ba 4.27-4.48
N  0.0000  0.0000  0.0000  6 Ba 2.75


6.
A plane-wave DFT calculation with PBE was carried out for crystalline LiPmF4 at its relaxed geometry.

**N(E_F)**: 0.0000 states/eV/atom
**E_form (uncorrected)**: -3.68 eV/atom
**E_tot**: -6.042 eV per atom

a = 5.6430 Å, b = 5.5085 Å, c = 5.3811 Å
α = 90.00°, β = 102.57°, γ = 90.00°
Last column: nearest neighbours and their distance in Å.
Space group Cm (No. 8)
Symmetry-distinct sites (fractional):
Li  0.0000  0.0000  0.0000  4 F 2.00
Pm  0.0021  0.5000  0.4984  8 F 2.35-2.39
F  0.1841  0.2382  0.2491  1 Li 2.00
F  0.3204  0.2621  0.7473  1 Li 2.00


7.
A plane-wave DFT calculation with PBE was carried out for crystalline Zr2H2Rh at its relaxed geometry.

**N(E_F)**: 1.0777 states/eV/atom
**E_tot**: -6.854 eV per atom

a = 3.1814 Å, b = 3.1814 Å, c = 12.5291 Å
α = 90.00°, β = 90.00°, γ = 90.00°
Last column: nearest neighbours and their distance in Å.
Space group I4/mmm (No. 139)
Symmetry-distinct sites (fractional):
Zr  0.0000  0.0000  0.1405  4 H 2.10
H  0.0000  0.5000  0.2500  4 Zr 2.10, 4 H 2.25
Rh  0.0000  0.0000  0.5000  8 Zr 2.86, 4 Rh 3.18


8.
A plane-wave DFT calculation with PBE was carried out for crystalline Nd4CuPCl2 at its relaxed geometry.

**N(E_F)**: 0.4962 states/eV/atom
**E_form (uncorrected)**: -1.18 eV/atom
**E_tot**: -5.211 eV per atom

a = 7.2678 Å, b = 4.0860 Å, c = 7.2847 Å
α = 90.00°, β = 108.47°, γ = 90.00°
Last column: nearest neighbours and their distance in Å.
Space group P2/m (No. 10)
Symmetry-distinct sites (fractional):
Nd  0.2262  0.0000  0.2389  2 Cu 2.84, 1 P 2.88, 3 Cl 3.03-3.06
Nd  0.2269  0.5000  0.7357  2 P 2.84, 1 Cu 2.90, 3 Cl 3.01-3.07
Cu  0.0000  0.5000  0.0000  6 Nd 2.84-2.90
P  0.0000  0.0000  0.5000  6 Nd 2.84-2.88
Cl  0.5000  0.0000  0.0000  6 Nd 3.03-3.07
Cl  0.5000  0.5000  0.5000  6 Nd 3.01-3.06


9.
A plane-wave DFT calculation with PBE was carried out for crystalline FeCo at its relaxed geometry.

**N(E_F)**: 0.9547 states/eV/atom
**Formation energy**: 9 meV per atom
**E_tot**: -7.776 eV per atom

a = 2.4567 Å, b = 3.9903 Å, c = 6.9637 Å
α = 90.00°, β = 90.89°, γ = 90.00°
Last column: nearest neighbours and their distance in Å.
Space group P2/m (No. 10)
Symmetry-distinct sites (fractional):
Fe  0.0000  0.0000  0.0000  6 Fe 2.46, 2 Co 2.46
Fe  0.3280  0.5000  0.8314  3 Co 2.43-2.44, 5 Fe 2.46-2.48
Co  0.0000  0.5000  0.5000  2 Fe 2.43, 6 Co 2.46-2.47
Co  0.3501  0.0000  0.3328  5 Co 2.43-2.47, 3 Fe 2.44-2.46


10.
A plane-wave DFT calculation with PBE was carried out for crystalline Sr3Nd3AgS8 at its relaxed geometry.

**N(E_F)**: 0.0046 states/eV/atom
**E_form (uncorrected)**: -1.79 eV/atom
**E_tot**: -5.470 eV per atom

a = 8.2513 Å, b = 8.2513 Å, c = 20.5713 Å
α = 90.00°, β = 90.00°, γ = 120.00°
Last column: nearest neighbours and their distance in Å.
Space group R-3m (No. 166, hexagonal axes)
Symmetry-distinct sites (fractional):
Sr  0.0000  0.5000  0.0000  6 S 2.98-3.02
Nd  0.0000  0.5000  0.5000  6 S 2.85-2.89
Ag  0.0000  0.0000  0.5000  6 S 2.90
S  0.0000  0.0000  0.2459  3 Nd 2.89, 3 Sr 2.98
S  0.0053  0.5027  0.7561  2 Nd 2.85, 1 Ag 2.90, 2 Sr 3.02


11.
A plane-wave DFT calculation with PBE was carried out for crystalline NpAgCl6 at its relaxed geometry.

**N(E_F)**: 0.9769 states/eV/atom
**E_form (uncorrected)**: -1.21 eV/atom
**E_tot**: -4.569 eV per atom

a = 6.6549 Å, b = 12.4911 Å, c = 6.6415 Å
α = 90.00°, β = 111.85°, γ = 90.00°
Last column: nearest neighbours and their distance in Å.
Space group C2/m (No. 12)
Symmetry-distinct sites (fractional):
Np  0.0000  0.0000  0.0000  6 Cl 2.50-2.56
Ag  0.0000  0.5000  0.5000  4 Cl 2.67
Cl  0.2279  0.0000  0.7736  1 Np 2.50
Cl  0.2393  0.1467  0.2407  1 Np 2.56, 1 Ag 2.67